A crystal of MnReRh2 relaxed with PBEsol. Source: Alexandria via LeMat-Bulk, functional meta-GGA SCAN.

a b c (Å): 2.6543 4.2011 4.6589
angles (deg): 90.00 90.00 90.00
Last column: nearest neighbours and their distance in Å.
Space group Pmm2 (No. 25)
Asymmetric unit:
Mn: 0.0000 0.0000 0.0000 [1 per cell]  2 Re 2.57, 8 Rh 2.60-2.69, 2 Mn 2.65
Re: 0.0000 0.5000 0.6814 [1 per cell]  2 Mn 2.57, 8 Rh 2.61-2.75, 2 Re 2.65
Rh: 0.5000 0.0000 0.5015 [1 per cell]  4 Re 2.62, 4 Rh 2.63-2.65, 4 Mn 2.67-2.69
Rh: 0.5000 0.5000 0.1633 [1 per cell]  4 Mn 2.60, 4 Re 2.61-2.75, 4 Rh 2.63-2.65

## Properties
- Offset from the most stable computed form: 0.085 eV/atom
- Magnetic moment: 0.65 μB/atom